Entry 1:
The following is a GGA-PBE calculation of a geometry-optimized La3Cd4Pb2 structure, from Alexandria.

a b c (Å): 12.0421 4.9202 9.5912
angles (deg): 90.00 111.99 90.00
With the nearest neighbours (Å) after each atom.
Space group C2/m (No. 12)
One atom of each set of equivalent atoms:
La 0.0000 0.0000 0.0000 x2  4 Cd 3.30-3.36, 4 Pb 3.51
La 0.1765 0.5000 0.6527 x4  4 Cd 3.30-3.45, 3 Pb 3.39-3.40
Cd 0.0073 0.0000 0.3534 x4  2 Cd 2.88-3.20, 2 Pb 2.99
Cd 0.2456 0.0000 0.9235 x4  2 Cd 2.85, 1 Pb 3.00
Pb 0.1150 0.5000 0.2780 x4  3 Cd 2.99-3.00

## Properties
Volume ... 526.91 Å³ per cell
Total moment ... 0.0 μB/cell
Uncorrected energy ... -3.318 eV per atom

=====

Entry 2:
The following is a GGA-PBE calculation of a geometry-optimized LaCdPb2 structure, from Alexandria.

a b c (Å): 4.0495 4.0495 7.3079
angles (deg): 90.00 90.00 90.00
With the nearest neighbours (Å) after each atom.
Space group P4mm (No. 99)
One atom of each set of equivalent atoms:
La 0.0000 0.0000 0.0000 x1  4 Cd 3.46, 6 Pb 3.51-3.76
Cd 0.5000 0.5000 0.7338 x1  5 Pb 3.28-3.33, 4 La 3.46
Pb 0.0000 0.0000 0.5140 x1  4 Cd 3.28, 4 Pb 3.34, 1 La 3.55
Pb 0.5000 0.5000 0.2780 x1  1 Cd 3.33, 4 Pb 3.34, 4 La 3.51

## Properties
Volume ... 119.84 Å³ per cell
Total moment ... 0.0 μB/cell
Uncorrected energy ... -3.541 eV per atom

=====

Entry 3:
The following is a GGA-PBE calculation of a geometry-optimized LaCdPb2 structure, from Alexandria.

a b c (Å): 4.8045 4.8045 10.2879
angles (deg): 90.00 90.00 90.00
With the nearest neighbours (Å) after each atom.
Space group I4/mmm (No. 139)
One atom of each set of equivalent atoms:
La 0.0000 0.0000 0.0000 x2  4 Cd 3.40, 8 Pb 3.52
Cd 0.0000 0.0000 0.5000 x2  4 La 3.40, 8 Pb 3.52
Pb 0.0000 0.5000 0.2500 x4  4 Pb 3.40, 4 Cd 3.52, 4 La 3.52

## Properties
Volume ... 237.48 Å³ per cell
Total moment ... 0.0 μB/cell
Uncorrected energy ... -3.648 eV per atom

=====

| no. | formation energy (meV per atom) |
| --- | --- |
| 1 | -445 |
| 2 | -226 |
| 3 | -334 |